No. 1
Material: Pm8Te4As3Cl
Method: DFT, PBE
State: optimized geometry

abc: 8.5918 8.5918 21.7302
angles: 90.00 90.00 120.00
Space group R-3m (No. 166, hexagonal axes)
Symmetry-distinct sites (fractional):
Pm 0.0000 0.0000 0.2393 x6
Pm 0.0108 0.5054 0.7600 x18
Te 0.0000 0.0000 0.0000 x3
Te 0.0000 0.5000 0.0000 x9
As 0.0000 0.5000 0.5000 x9
Cl 0.0000 0.0000 0.5000 x3

Values from the calculation:
- ΔE_f (raw) (meV/atom) = -1506

No. 2
Material: Pm3TeAsCl
Method: DFT, PBE
State: optimized geometry

abc: 8.855 4.224 9.754
angles: 90.00 96.12 90.00
Space group P2_1/m (No. 11)
Symmetry-distinct sites (fractional):
Pm 0.091 0.250 0.348 x2
Pm 0.172 0.250 0.950 x2
Pm 0.372 0.750 0.638 x2
Te 0.354 0.750 0.307 x2
As 0.142 0.250 0.648 x2
Cl 0.375 0.750 0.927 x2

Values from the calculation:
- ΔE_f (raw) (meV/atom) = -1408

Q: Which value of ΔE_f (raw) does entry 2 give?
A: -1408 meV/atom